# 1
The following is a DFT calculation (PBE-GGA) of crystalline TaTlN2O at its relaxed geometry.

Properties
ΔE_f (raw)	1.77	eV per atom
calculated volume	71	Å³/cell
space group	No. 123

The structure in CIF format:
```
data_TaTlN2O
_chemical_formula_sum 'Ta1 Tl1 N2 O1'
_cell_length_a 4.1731
_cell_length_b 4.1731
_cell_length_c 4.0724
_cell_angle_alpha 90.00
_cell_angle_beta 90.00
_cell_angle_gamma 90.00
_symmetry_space_group_name_H-M 'P 1'
_symmetry_Int_Tables_number 1
loop_
_symmetry_equiv_pos_as_xyz
'x,y,z'
loop_
_atom_site_label
_atom_site_fract_x
_atom_site_fract_y
_atom_site_fract_z
Ta1 0.0000 0.0000 0.0000
Tl1 0.5000 0.5000 0.5000
N1 0.0000 0.5000 0.5000
N2 0.5000 0.0000 0.5000
O1 0.5000 0.5000 0.0000
```



# 2
The following is a DFT calculation (PBE-GGA) of crystalline LiSn2H2 at its relaxed geometry.

Properties
energy above the most stable polymorph in this dataset	0	meV/atom
calculated volume	165	Å³/cell
space group	No. 127

The structure in CIF format:
```
data_LiSn2H2
_chemical_formula_sum 'Li2 Sn4 H4'
_cell_length_a 6.1534
_cell_length_b 6.1534
_cell_length_c 4.3610
_cell_angle_alpha 90.00
_cell_angle_beta 90.00
_cell_angle_gamma 90.00
_symmetry_space_group_name_H-M 'P 1'
_symmetry_Int_Tables_number 1
loop_
_symmetry_equiv_pos_as_xyz
'x,y,z'
loop_
_atom_site_label
_atom_site_fract_x
_atom_site_fract_y
_atom_site_fract_z
Li1 0.0000 0.0000 0.0000
Li2 0.5000 0.5000 0.0000
Sn1 0.2474 0.2526 0.5000
Sn2 0.2526 0.7526 0.5000
Sn3 0.7474 0.2474 0.5000
Sn4 0.7526 0.7474 0.5000
H1 0.2479 0.2521 0.0000
H2 0.2521 0.7521 0.0000
H3 0.7479 0.2479 0.0000
H4 0.7521 0.7479 0.0000
```



Number 1: total magnetization 0.001 μB per formula unit, E -0.1983 Ha/atom. Number 2: total magnetization 0.000 μB per formula unit, E -0.1201 Ha/atom.